Computed, not measured: an optimized crystal structure of Pm3C4O12F at the PBE level of DFT.

Results
Uncorrected formation energy in eV/atom: -2.18
Calculated volume in Å³/f.u.: 292

Unit cell a=6.6850 b=6.6850 c=6.6850 alpha=96.83 beta=96.83 gamma=96.83
Sites, in units of the cell vectors:
Pm (0.0000, 0.5309, 0.4691)
Pm (0.4691, 0.0000, 0.5309)
Pm (0.5309, 0.4691, 0.0000)
C (0.0142, 0.5000, 0.9858)
C (0.5000, 0.5000, 0.5000)
C (0.5000, 0.9858, 0.0142)
C (0.9858, 0.0142, 0.5000)
O (0.0535, 0.2001, 0.4924)
O (0.1178, 0.8821, 0.5000)
O (0.2001, 0.4924, 0.0535)
O (0.3709, 0.6291, 0.5000)
O (0.4924, 0.0535, 0.2001)
O (0.5000, 0.1179, 0.8821)
O (0.5000, 0.3709, 0.6291)
O (0.5076, 0.7999, 0.9465)
O (0.6291, 0.5000, 0.3709)
O (0.7999, 0.9465, 0.5076)
O (0.8821, 0.5000, 0.1178)
O (0.9465, 0.5076, 0.7999)
F (0.0000, 0.0000, 0.0000)